An optimized crystal structure of FeNi2PbS. Source: the Alexandria database, functional PBE-GGA.

Cell lengths 4.3938, 4.3938, 5.0975 Å; angles 90.00, 90.00, 90.00 degrees
Atoms (fractional coordinates):
Fe: 0.0000 0.0000 0.0000
Ni: 0.0000 0.5000 0.0000
Ni: 0.5000 0.0000 0.0000
Pb: 0.0000 0.0000 0.5000
S: 0.5000 0.5000 0.5000

Properties
Calculated total energy (eV/atom): -4.6552
Total magnetization (μB/f.u.): 4.1